DFT (PBE) results for a geometry-optimized Ce2SbAs3 structure.

abc: 4.1376 4.1376 8.4519
angles: 90.00 90.00 90.00
Fractional coordinates of all 6 atoms:
Ce 0.0000 0.5000 0.2022
Ce 0.5000 0.0000 0.7978
Sb 0.0000 0.0000 0.5000
As 0.0000 0.5000 0.8528
As 0.5000 0.0000 0.1472
As 0.5000 0.5000 0.5000

Results
Space group: P-4m2, No. 115
E_form (uncorrected) (meV/atom): -984.6
Total magnetic moment (μB per formula unit): 0.0
E (eV/atom): -5.974

DFT (PBE) results for a geometry-optimized Ac8Si3PCl4 structure.

abc: 8.9011 8.9011 8.9011
angles: 61.03 61.03 61.03
Fractional coordinates of all 16 atoms:
Ac 0.2431 0.2431 0.2431
Ac 0.2440 0.7412 0.7412
Ac 0.2588 0.2588 0.7560
Ac 0.2588 0.7560 0.2588
Ac 0.7412 0.2440 0.7412
Ac 0.7412 0.7412 0.2440
Ac 0.7560 0.2588 0.2588
Ac 0.7569 0.7569 0.7569
Si 0.0000 0.0000 0.5000
Si 0.0000 0.5000 0.0000
Si 0.5000 0.0000 0.0000
P 0.5000 0.5000 0.5000
Cl 0.0000 0.0000 0.0000
Cl 0.0000 0.5000 0.5000
Cl 0.5000 0.0000 0.5000
Cl 0.5000 0.5000 0.0000

Results
Space group: R-3m, No. 166
E_form (uncorrected) (meV/atom): -1261.0
Total magnetic moment (μB per formula unit): 0.0
E (eV/atom): -5.132

DFT (PBE) results for a geometry-optimized RhAuSe4 structure.

abc: 6.1857 6.1857 7.0007
angles: 122.05 122.05 35.48
Fractional coordinates of all 6 atoms:
Rh 0.0000 0.0000 0.0000
Au 0.5000 0.5000 0.5000
Se 0.1592 0.1592 0.8768
Se 0.3848 0.3848 0.7125
Se 0.6152 0.6152 0.2875
Se 0.8408 0.8408 0.1232

Results
Offset from the most stable computed form (meV per atom): 0
Space group: C2/m, No. 12
E_form (uncorrected) (meV/atom): -219.1
Total magnetic moment (μB per formula unit): 0.0
E (eV/atom): -4.314

DFT (PBE) results for a geometry-optimized LiInSb2Te structure.

abc: 5.1335 5.1335 5.4352
angles: 90.00 90.00 90.00
Fractional coordinates of all 5 atoms:
Li 0.0000 0.0000 0.0000
In 0.5000 0.5000 0.5000
Sb 0.0000 0.5000 0.0000
Sb 0.5000 0.0000 0.0000
Te 0.0000 0.0000 0.5000

Results
Offset from the most stable computed form (meV per atom): 0
Space group: P4/mmm, No. 123
E_form (uncorrected) (meV/atom): 213.5
Total magnetic moment (μB per formula unit): 0.0
E (eV/atom): -2.994

DFT (PBE) results for a geometry-optimized NbSiP structure.

abc: 4.7630 4.7630 6.7876
angles: 110.33 110.33 41.36
Fractional coordinates of all 6 atoms:
Nb 0.0000 0.0000 0.0000
Nb 0.6252 0.6252 0.6636
Si 0.3450 0.3450 0.6585
Si 0.6817 0.6817 0.3058
P 0.2724 0.2724 0.9726
P 0.9641 0.9641 0.3674

Results
Space group: Cm, No. 8
E_form (uncorrected) (meV/atom): -527.4
Total magnetic moment (μB per formula unit): 0.0
E (eV/atom): -7.495

DFT (PBE) results for a geometry-optimized CsCe6Se8 structure.

abc: 11.4182 11.4182 4.3183
angles: 90.00 90.00 120.00
Fractional coordinates of all 15 atoms:
Cs 0.0000 0.0000 0.0000
Ce 0.1399 0.4802 0.2511
Ce 0.3404 0.8601 0.2511
Ce 0.4802 0.3404 0.7489
Ce 0.5198 0.6596 0.2511
Ce 0.6596 0.1399 0.7489
Ce 0.8601 0.5198 0.7489
Se 0.0431 0.6864 0.2489
Se 0.3136 0.3567 0.2489
Se 0.3333 0.6667 0.7509
Se 0.3567 0.0431 0.7511
Se 0.6433 0.9569 0.2489
Se 0.6667 0.3333 0.2491
Se 0.6864 0.6433 0.7511
Se 0.9569 0.3136 0.7511

Results
Space group: P-3, No. 147
E_form (uncorrected) (meV/atom): -1676.8
Total magnetic moment (μB per formula unit): 7.9
E (eV/atom): -5.966